{"formula": "Sm2EuPd", "functional": "PBE-GGA", "state": "relaxed", "sg": "P4/mmm (123)", "formation_energy_ev_per_atom": -0.336, "polymorph_energy_mev_per_atom": 0, "density_g_cm3": 7.7, "cell": [[3.660, 0.000, 0.000], [0.000, 3.660, 0.000], [0.000, 0.000, 9.034]], "species": ["Sm", "Sm", "Eu", "Pd"], "fractional_positions": [[0.000, 0.000, 0.186], [0.000, 0.000, 0.814], [0.500, 0.500, 0.500], [0.500, 0.500, 0.000]]}

=====

{"formula": "K2CdFe", "functional": "PBE-GGA", "state": "relaxed", "sg": "Imm2 (44)", "formation_energy_ev_per_atom": 0.610, "density_g_cm3": 2.9, "cell": [[-2.344, 2.978, 5.130], [2.344, -2.978, 5.130], [2.344, 2.978, -5.130]], "species": ["K", "K", "Cd", "Fe"], "fractional_positions": [[0.000, 0.000, 0.000], [0.697, 0.197, 0.500], [0.410, 0.410, 0.000], [0.297, 0.797, 0.500]]}

=====

{"formula": "GdDyRu2", "functional": "PBE-GGA", "state": "relaxed", "sg": "P4/mmm (123)", "formation_energy_ev_per_atom": -0.286, "density_g_cm3": 10.9, "cell": [[3.413, 0.000, 0.000], [0.000, 3.413, 0.000], [0.000, 0.000, 6.828]], "species": ["Gd", "Dy", "Ru", "Ru"], "fractional_positions": [[0.000, 0.000, 0.000], [0.000, 0.000, 0.500], [0.500, 0.500, 0.252], [0.500, 0.500, 0.748]]}

=====

{"formula": "Dy3RuCl3", "functional": "PBE-GGA", "state": "relaxed", "sg": "R-3 (148)", "formation_energy_uncorrected_kj_per_mol_fu": -918, "density_g_cm3": 5.6, "cell": [[3.356, 1.937, 10.489], [-3.356, 1.937, 10.489], [0.000, -3.875, 10.489]], "species": ["Dy", "Dy", "Dy", "Dy", "Dy", "Dy", "Ru", "Ru", "Cl", "Cl", "Cl", "Cl", "Cl", "Cl"], "fractional_positions": [[0.099, 0.448, 0.797], [0.203, 0.901, 0.552], [0.448, 0.797, 0.099], [0.552, 0.203, 0.901], [0.797, 0.099, 0.448], [0.901, 0.552, 0.203], [0.167, 0.167, 0.167], [0.833, 0.833, 0.833], [0.067, 0.720, 0.393], [0.280, 0.607, 0.933], [0.393, 0.067, 0.720], [0.607, 0.933, 0.280], [0.720, 0.393, 0.067], [0.933, 0.280, 0.607]]}

=====

{"formula": "KCuPb2", "functional": "PBE-GGA", "state": "relaxed", "sg": "C2/m (12)", "formation_energy_ev_per_atom": 0.063, "density_g_cm3": 7.4, "cell": [[6.246, -1.767, 0.000], [6.246, 1.767, 0.000], [-2.843, 0.000, 5.280]], "species": ["K", "Cu", "Pb", "Pb"], "fractional_positions": [[0.000, 0.000, 0.000], [0.500, 0.500, 0.500], [0.200, 0.200, 0.699], [0.800, 0.800, 0.301]]}

=====

{"formula": "CoIr4Ru4", "functional": "PBE-GGA", "state": "relaxed", "sg": "I4/mmm (139)", "formation_energy_ev_per_atom": 0.012, "density_g_cm3": 16.4, "cell": [[-4.050, 4.050, 1.900], [4.050, -4.050, 1.900], [4.050, 4.050, -1.900]], "species": ["Co", "Ir", "Ir", "Ir", "Ir", "Ru", "Ru", "Ru", "Ru"], "fractional_positions": [[0.000, 0.000, 0.000], [0.334, 0.334, 0.668], [0.334, 0.666, 0.000], [0.666, 0.334, 0.000], [0.666, 0.666, 0.332], [0.000, 0.336, 0.336], [0.000, 0.664, 0.664], [0.336, 0.000, 0.336], [0.664, 0.000, 0.664]]}

=====

{"formula": "Rb2InGaCl4", "functional": "PBE-GGA", "state": "relaxed", "sg": "P2/m (10)", "formation_energy_uncorrected_kj_per_mol_fu": -1025, "density_g_cm3": 3.0, "cell": [[7.907, 0.000, 0.000], [0.000, 4.609, 0.000], [-2.686, 0.000, 7.517]], "species": ["Rb", "Rb", "In", "Ga", "Cl", "Cl", "Cl", "Cl"], "fractional_positions": [[0.000, 0.000, 0.000], [0.000, 0.500, 0.500], [0.500, 0.000, 0.500], [0.500, 0.500, 0.000], [0.262, 0.500, 0.247], [0.267, 0.000, 0.763], [0.733, 0.000, 0.237], [0.738, 0.500, 0.753]]}

=====

{"formula": "CoHPt3", "functional": "PBE-GGA", "state": "relaxed", "sg": "Pm-3m (221)", "polymorph_energy_mev_per_atom": 0, "density_g_cm3": 17.2, "cell": [[3.967, 0.000, 0.000], [0.000, 3.967, 0.000], [0.000, 0.000, 3.967]], "species": ["Co", "H", "Pt", "Pt", "Pt"], "fractional_positions": [[0.000, 0.000, 0.000], [0.500, 0.500, 0.500], [0.000, 0.500, 0.500], [0.500, 0.000, 0.500], [0.500, 0.500, 0.000]]}